[1]
The following is a DFT calculation (PBE-GGA) of a relaxed structure of ErTm6Sc12.

```
data_ErTm6Sc12
_cell_length_a 8.934
_cell_length_b 8.934
_cell_length_c 8.934
_cell_angle_alpha 110.71
_cell_angle_beta 110.71
_cell_angle_gamma 110.71
_symmetry_space_group_name_H-M 'P 1'
_symmetry_Int_Tables_number 1
_symmetry_space_group_name_Hall 'P 1'
loop_
_atom_site_label
_atom_site_fract_x
_atom_site_fract_y
_atom_site_fract_z
Tm1 0.067 0.067 0.701
Tm2 0.701 0.067 0.067
Tm3 0.933 0.933 0.299
Tm4 0.299 0.933 0.933
Tm5 0.067 0.701 0.067
Tm6 0.933 0.299 0.933
Sc1 0.395 0.395 0.176
Sc2 0.395 0.176 0.395
Sc3 0.215 0.785 0.500
Sc4 0.215 0.500 0.785
Sc5 0.824 0.605 0.605
Sc6 0.500 0.215 0.785
Sc7 0.500 0.785 0.215
Sc8 0.605 0.605 0.824
Sc9 0.785 0.215 0.500
Sc10 0.176 0.395 0.395
Sc11 0.785 0.500 0.215
Sc12 0.605 0.824 0.605
Er1 0.000 0.000 0.000
```

Total magnetic moment (μB/f.u.): 0.162
Volume (Å³/atom): 27.49
DOS(E_F) (states/eV/cell): 35.6
Final energy (eV/atom): -5.348
E_form (eV per formula unit): 5.768

---

[2]
The following is a DFT calculation (PBE-GGA) of a relaxed structure of BaNaHoF6.

```
data_BaNaHoF6
_cell_length_a 5.959
_cell_length_b 5.959
_cell_length_c 11.076
_cell_angle_alpha 90.00
_cell_angle_beta 90.00
_cell_angle_gamma 120.00
_symmetry_space_group_name_H-M 'P 1'
_symmetry_Int_Tables_number 1
_symmetry_space_group_name_Hall 'P 1'
loop_
_atom_site_label
_atom_site_fract_x
_atom_site_fract_y
_atom_site_fract_z
Ba1 0.000 0.000 0.000
Ba2 0.000 0.000 0.500
F1 0.632 0.653 0.142
F2 0.979 0.632 0.858
F3 0.653 0.632 0.642
F4 0.347 0.979 0.142
F5 0.347 0.368 0.358
F6 0.653 0.021 0.858
F7 0.368 0.347 0.858
F8 0.632 0.979 0.358
F9 0.979 0.347 0.642
F10 0.021 0.368 0.142
F11 0.021 0.653 0.358
F12 0.368 0.021 0.642
Na1 0.667 0.333 0.250
Na2 0.333 0.667 0.750
Ho1 0.333 0.667 0.250
Ho2 0.667 0.333 0.750
```

Formation energy from raw total energies (eV per formula unit): -33.62
Total magnetic moment (μB/f.u.): 0.161
Volume (Å³/atom): 18.92
DOS(E_F) (states/eV/cell): 0.0
Final energy (eV/atom): -5.852

---

[3]
The following is a DFT calculation (PBE-GGA) of a relaxed structure of TcIr6Pt.

```
data_TcIr6Pt
_cell_length_a 3.875
_cell_length_b 3.875
_cell_length_c 7.786
_cell_angle_alpha 90.00
_cell_angle_beta 90.00
_cell_angle_gamma 90.00
_symmetry_space_group_name_H-M 'P 1'
_symmetry_Int_Tables_number 1
_symmetry_space_group_name_Hall 'P 1'
loop_
_atom_site_label
_atom_site_fract_x
_atom_site_fract_y
_atom_site_fract_z
Ir1 0.500 0.500 0.000
Ir2 0.000 0.500 0.257
Ir3 0.500 0.000 0.743
Ir4 0.000 0.500 0.743
Ir5 0.500 0.500 0.500
Ir6 0.500 0.000 0.257
Pt1 0.000 0.000 0.000
Tc1 0.000 0.000 0.500
```

Total magnetic moment (μB/f.u.): 0.000
Volume (Å³/atom): 14.62
DOS(E_F) (states/eV/cell): 3.6
Final energy (eV/atom): -8.780
E_form (eV per formula unit): -0.667

---

[4]
The following is a DFT calculation (PBE-GGA) of a relaxed structure of MgCdPb2.

```
data_MgCdPb2
_cell_length_a 3.318
_cell_length_b 3.318
_cell_length_c 10.592
_cell_angle_alpha 90.00
_cell_angle_beta 90.00
_cell_angle_gamma 109.91
_symmetry_space_group_name_H-M 'P 1'
_symmetry_Int_Tables_number 1
_symmetry_space_group_name_Hall 'P 1'
loop_
_atom_site_label
_atom_site_fract_x
_atom_site_fract_y
_atom_site_fract_z
Pb1 0.500 0.500 0.264
Pb2 0.000 0.000 0.980
Mg1 0.500 0.500 0.737
Cd1 0.000 0.000 0.519
```

Total magnetic moment (μB/f.u.): 0.000
Volume (Å³/atom): 27.41
DOS(E_F) (states/eV/cell): 1.7
Final energy (eV/atom): -2.442
Energy relative to the lowest polymorph listed for this composition (meV/atom): 65.5
E_form (eV per formula unit): 0.158

---

[5]
The following is a DFT calculation (PBE-GGA) of a relaxed structure of LiZnCrH6.

```
data_LiZnCrH6
_cell_length_a 4.619
_cell_length_b 4.619
_cell_length_c 7.927
_cell_angle_alpha 90.00
_cell_angle_beta 90.00
_cell_angle_gamma 120.00
_symmetry_space_group_name_H-M 'P 1'
_symmetry_Int_Tables_number 1
_symmetry_space_group_name_Hall 'P 1'
loop_
_atom_site_label
_atom_site_fract_x
_atom_site_fract_y
_atom_site_fract_z
H1 0.030 0.346 0.628
H2 0.685 0.030 0.372
H3 0.970 0.315 0.128
H4 0.654 0.685 0.628
H5 0.315 0.346 0.872
H6 0.315 0.970 0.628
H7 0.346 0.315 0.372
H8 0.970 0.654 0.372
H9 0.685 0.654 0.128
H10 0.654 0.970 0.872
H11 0.346 0.030 0.128
H12 0.030 0.685 0.872
Zn1 0.000 0.000 0.000
Zn2 0.000 0.000 0.500
Cr1 0.667 0.333 0.250
Cr2 0.333 0.667 0.750
Li1 0.667 0.333 0.750
Li2 0.333 0.667 0.250
```

Total magnetic moment (μB/f.u.): 2.999
Volume (Å³/atom): 8.14
Final energy (eV/atom): -3.583

---

[6]
The following is a DFT calculation (PBE-GGA) of a relaxed structure of Hf2ZrPbW.

```
data_Hf2ZrPbW
_cell_length_a 5.240
_cell_length_b 5.029
_cell_length_c 5.240
_cell_angle_alpha 90.00
_cell_angle_beta 90.00
_cell_angle_gamma 90.00
_symmetry_space_group_name_H-M 'P 1'
_symmetry_Int_Tables_number 1
_symmetry_space_group_name_Hall 'P 1'
loop_
_atom_site_label
_atom_site_fract_x
_atom_site_fract_y
_atom_site_fract_z
Pb1 0.000 0.000 0.000
Hf1 0.500 0.000 0.000
Hf2 0.000 0.000 0.500
W1 0.000 0.500 0.000
Zr1 0.500 0.500 0.500
```

Total magnetic moment (μB/f.u.): 0.000
Volume (Å³/atom): 27.62
DOS(E_F) (states/eV/cell): 6.9
Final energy (eV/atom): -7.247
Energy relative to the lowest polymorph listed for this composition (meV/atom): 0.0
E_form (eV per formula unit): 8.880

---

[7]
The following is a DFT calculation (PBE-GGA) of a relaxed structure of CaCd6In.

```
data_CaCd6In
_cell_length_a 4.932
_cell_length_b 6.427
_cell_length_c 6.427
_cell_angle_alpha 106.87
_cell_angle_beta 90.00
_cell_angle_gamma 90.00
_symmetry_space_group_name_H-M 'P 1'
_symmetry_Int_Tables_number 1
_symmetry_space_group_name_Hall 'P 1'
loop_
_atom_site_label
_atom_site_fract_x
_atom_site_fract_y
_atom_site_fract_z
Cd1 0.000 0.652 0.955
Cd2 0.000 0.559 0.441
Cd3 0.500 0.858 0.557
Cd4 0.000 0.045 0.348
Cd5 0.500 0.443 0.142
Cd6 0.500 0.937 0.063
In1 0.500 0.369 0.631
Ca1 0.000 0.138 0.862
```

Total magnetic moment (μB/f.u.): 0.000
Volume (Å³/atom): 24.37
DOS(E_F) (states/eV/cell): 2.8
Final energy (eV/atom): -1.408
Energy relative to the lowest polymorph listed for this composition (meV/atom): 0.0
E_form (eV per formula unit): -1.035

---

[8]
The following is a DFT calculation (PBE-GGA) of a relaxed structure of Nd2AlAg2.

```
data_Nd2AlAg2
_cell_length_a 7.641
_cell_length_b 7.641
_cell_length_c 8.604
_cell_angle_alpha 90.00
_cell_angle_beta 90.00
_cell_angle_gamma 90.00
_symmetry_space_group_name_H-M 'P 1'
_symmetry_Int_Tables_number 1
_symmetry_space_group_name_Hall 'P 1'
loop_
_atom_site_label
_atom_site_fract_x
_atom_site_fract_y
_atom_site_fract_z
Ag1 0.869 0.631 0.750
Ag2 0.369 0.869 0.750
Ag3 0.369 0.869 0.250
Ag4 0.131 0.369 0.250
Ag5 0.869 0.631 0.250
Ag6 0.631 0.131 0.750
Ag7 0.131 0.369 0.750
Ag8 0.631 0.131 0.250
Al1 0.000 0.000 0.250
Al2 0.000 0.000 0.750
Al3 0.500 0.500 0.750
Al4 0.500 0.500 0.250
Nd1 0.325 0.175 0.000
Nd2 0.675 0.825 0.000
Nd3 0.175 0.675 0.000
Nd4 0.825 0.325 0.000
Nd5 0.825 0.325 0.500
Nd6 0.675 0.825 0.500
Nd7 0.175 0.675 0.500
Nd8 0.325 0.175 0.500
```

Total magnetic moment (μB/f.u.): 0.000
Volume (Å³/atom): 25.12
DOS(E_F) (states/eV/cell): 14.4
Final energy (eV/atom): -4.052
Energy relative to the lowest polymorph listed for this composition (meV/atom): 32.0
E_form (eV per formula unit): -1.281

---

[9]
The following is a DFT calculation (PBE-GGA) of a relaxed structure of CaCoP2.

```
data_CaCoP2
_cell_length_a 4.489
_cell_length_b 4.489
_cell_length_c 4.489
_cell_angle_alpha 60.00
_cell_angle_beta 60.00
_cell_angle_gamma 60.00
_symmetry_space_group_name_H-M 'P 1'
_symmetry_Int_Tables_number 1
_symmetry_space_group_name_Hall 'P 1'
loop_
_atom_site_label
_atom_site_fract_x
_atom_site_fract_y
_atom_site_fract_z
P1 0.000 0.000 0.000
P2 0.250 0.250 0.250
Ca1 0.500 0.500 0.500
Co1 0.750 0.750 0.750
```

Total magnetic moment (μB/f.u.): 0.907
Volume (Å³/atom): 16.00
DOS(E_F) (states/eV/cell): 2.3
Final energy (eV/atom): -4.733
Energy relative to the lowest polymorph listed for this composition (meV/atom): 950.7
E_form (eV per formula unit): 0.995